First-principles (GGA-PBE) data for a geometry-optimized Lu2PuSe structure, as listed in Alexandria. Values from VASP.

Properties
DFT total energy (eV per atom): -7.111
Offset from the most stable computed form (meV per atom): 178

```
&SYSTEM
  ibrav = 0, nat = 4, ntyp = 3
/
ATOMIC_SPECIES
Lu 174.97 Lu.upf
Se 78.96 Se.upf
Pu 244.00 Pu.upf
ATOMIC_POSITIONS crystal
Lu 0.1064 0.1064 0.6809
Se 0.5000 0.5000 0.5000
Lu 0.8936 0.8936 0.3191
Pu 0.0000 0.0000 0.0000
CELL_PARAMETERS angstrom
3.5856 0.0000 0.0000
1.7928 3.1053 0.0000
1.7928 1.0351 10.2138
```

=====

First-principles (GGA-PBE) data for a geometry-optimized LuPuSe2 structure, as listed in Alexandria. Values from VASP.

Properties
DFT total energy (eV per atom): -8.058

```
&SYSTEM
  ibrav = 0, nat = 4, ntyp = 3
/
ATOMIC_SPECIES
Se 78.96 Se.upf
Lu 174.97 Lu.upf
Pu 244.00 Pu.upf
ATOMIC_POSITIONS crystal
Se 0.2547 0.2547 0.2358
Lu 0.0000 0.0000 0.0000
Se 0.7453 0.7453 0.7642
Pu 0.5000 0.5000 0.5000
CELL_PARAMETERS angstrom
-2.6094 -1.8766 -2.4140
1.2506 -1.5558 -3.4891
0.9026 -7.0303 1.1428
```

=====

First-principles (GGA-PBE) data for a geometry-optimized Lu2PuSi structure, as listed in Alexandria. Values from VASP.

Properties
DFT total energy (eV per atom): -7.381
Offset from the most stable computed form (meV per atom): 0

```
&SYSTEM
  ibrav = 0, nat = 4, ntyp = 3
/
ATOMIC_SPECIES
Pu 244.00 Pu.upf
Lu 174.97 Lu.upf
Si 28.09 Si.upf
ATOMIC_POSITIONS crystal
Pu 0.5000 0.5000 0.5000
Lu 0.0000 0.5000 0.0000
Si 0.5000 0.0000 0.0000
Lu 0.0000 0.0000 0.5000
CELL_PARAMETERS angstrom
4.4129 0.0000 0.0000
0.0000 4.5851 0.0000
0.0000 0.0000 4.5851
```

=====

First-principles (GGA-PBE) data for a geometry-optimized Lu2PuSi structure, as listed in Alexandria. Values from VASP.

Properties
DFT total energy (eV per atom): -7.277
Offset from the most stable computed form (meV per atom): 104

```
&SYSTEM
  ibrav = 0, nat = 4, ntyp = 3
/
ATOMIC_SPECIES
Lu 174.97 Lu.upf
Si 28.09 Si.upf
Pu 244.00 Pu.upf
ATOMIC_POSITIONS crystal
Lu 0.7352 0.7352 0.7944
Si 0.0000 0.0000 0.0000
Lu 0.2648 0.2648 0.2056
Pu 0.5000 0.5000 0.5000
CELL_PARAMETERS angstrom
3.4643 0.0000 0.0000
1.7321 3.0001 0.0000
1.7321 1.0000 9.8333
```

=====

First-principles (GGA-PBE) data for a geometry-optimized LuPuSi structure, as listed in Alexandria. Values from VASP.

Properties
DFT total energy (eV per atom): -8.307

```
&SYSTEM
  ibrav = 0, nat = 3, ntyp = 3
/
ATOMIC_SPECIES
Pu 244.00 Pu.upf
Si 28.09 Si.upf
Lu 174.97 Lu.upf
ATOMIC_POSITIONS crystal
Pu 0.0000 0.0000 0.0000
Si 0.2500 0.2500 0.2500
Lu 0.5000 0.5000 0.5000
CELL_PARAMETERS angstrom
-0.3412 -4.4313 1.7765
3.3813 -1.6619 2.9519
-0.9818 -0.6494 4.6393
```

=====

First-principles (GGA-PBE) data for a geometry-optimized LuPuSi4 structure, as listed in Alexandria. Values from VASP.

Properties
DFT total energy (eV per atom): -7.107

```
&SYSTEM
  ibrav = 0, nat = 6, ntyp = 3
/
ATOMIC_SPECIES
Si 28.09 Si.upf
Lu 174.97 Lu.upf
Pu 244.00 Pu.upf
ATOMIC_POSITIONS crystal
Si 0.6254 0.1240 0.6254
Si 0.1240 0.6254 0.6254
Lu 0.0000 0.0000 0.0000
Pu 0.2500 0.2500 0.2500
Si 0.6254 0.6254 0.1240
Si 0.6254 0.6254 0.6254
CELL_PARAMETERS angstrom
5.2499 0.0000 0.0000
2.6250 4.5465 0.0000
2.6250 1.5155 4.2865
```

=====

First-principles (GGA-PBE) data for a geometry-optimized SmLuPu2 structure, as listed in Alexandria. Values from VASP.

Properties
DFT total energy (eV per atom): -9.299
Offset from the most stable computed form (meV per atom): 0
Calculated formation energy (eV per atom): 0.18

```
&SYSTEM
  ibrav = 0, nat = 4, ntyp = 3
/
ATOMIC_SPECIES
Pu 244.00 Pu.upf
Lu 174.97 Lu.upf
Sm 150.36 Sm.upf
ATOMIC_POSITIONS crystal
Pu 0.0000 0.0000 0.2563
Pu 0.0000 0.0000 0.7437
Lu 0.5000 0.5000 0.5000
Sm 0.5000 0.5000 0.0000
CELL_PARAMETERS angstrom
3.4018 0.0000 0.0000
0.0000 3.4018 0.0000
0.0000 0.0000 10.0971
```

=====

First-principles (GGA-PBE) data for a geometry-optimized SmLuPu2 structure, as listed in Alexandria. Values from VASP.

Properties
DFT total energy (eV per atom): -9.292
Offset from the most stable computed form (meV per atom): 7
Calculated formation energy (eV per atom): 0.18

```
&SYSTEM
  ibrav = 0, nat = 4, ntyp = 3
/
ATOMIC_SPECIES
Lu 174.97 Lu.upf
Pu 244.00 Pu.upf
Sm 150.36 Sm.upf
ATOMIC_POSITIONS crystal
Lu 0.5000 0.0000 0.0000
Pu 0.0000 0.5000 0.0000
Sm 0.5000 0.5000 0.5000
Pu 0.0000 0.0000 0.5000
CELL_PARAMETERS angstrom
-0.5757 1.7784 4.6720
0.5838 -4.4351 1.7601
4.7398 0.7434 0.3011
```

=====

First-principles (GGA-PBE) data for a geometry-optimized SmLuPuTl structure, as listed in Alexandria. Values from VASP.

Properties
DFT total energy (eV per atom): -6.432
Calculated formation energy (eV per atom): 0.05

```
&SYSTEM
  ibrav = 0, nat = 4, ntyp = 4
/
ATOMIC_SPECIES
Sm 150.36 Sm.upf
Lu 174.97 Lu.upf
Pu 244.00 Pu.upf
Tl 204.38 Tl.upf
ATOMIC_POSITIONS crystal
Sm 0.7500 0.7500 0.7500
Lu 0.5000 0.5000 0.5000
Pu 0.2500 0.2500 0.2500
Tl 0.0000 0.0000 0.0000
CELL_PARAMETERS angstrom
5.4573 0.0000 0.0000
2.7286 4.7261 0.0000
2.7286 1.5754 4.4558
```

=====

First-principles (GGA-PBE) data for a geometry-optimized SmTmLuPu structure, as listed in Alexandria. Values from VASP.

Properties
DFT total energy (eV per atom): -6.831
Calculated formation energy (eV per atom): 0.18

```
&SYSTEM
  ibrav = 0, nat = 4, ntyp = 4
/
ATOMIC_SPECIES
Pu 244.00 Pu.upf
Tm 168.93 Tm.upf
Sm 150.36 Sm.upf
Lu 174.97 Lu.upf
ATOMIC_POSITIONS crystal
Pu 0.7500 0.7500 0.7500
Tm 0.0000 0.0000 0.0000
Sm 0.2500 0.2500 0.2500
Lu 0.5000 0.5000 0.5000
CELL_PARAMETERS angstrom
5.5586 0.0000 0.0000
2.7793 4.8139 0.0000
2.7793 1.6046 4.5386
```

=====

First-principles (GGA-PBE) data for a geometry-optimized SmYLuPu structure, as listed in Alexandria. Values from VASP.

Properties
DFT total energy (eV per atom): -7.312
Calculated formation energy (eV per atom): 0.20

```
&SYSTEM
  ibrav = 0, nat = 4, ntyp = 4
/
ATOMIC_SPECIES
Lu 174.97 Lu.upf
Y 88.91 Y.upf
Sm 150.36 Sm.upf
Pu 244.00 Pu.upf
ATOMIC_POSITIONS crystal
Lu 0.7500 0.7500 0.7500
Y 0.2500 0.2500 0.2500
Sm 0.0000 0.0000 0.0000
Pu 0.5000 0.5000 0.5000
CELL_PARAMETERS angstrom
-3.3887 -2.1386 -3.9061
1.5776 -4.5152 -2.9051
-2.5284 -4.9148 0.8759
```

=====

First-principles (GGA-PBE) data for a geometry-optimized LuPuSn2 structure, as listed in Alexandria. Values from VASP.

Properties
DFT total energy (eV per atom): -7.143
Calculated formation energy (eV per atom): -0.43

```
&SYSTEM
  ibrav = 0, nat = 4, ntyp = 3
/
ATOMIC_SPECIES
Lu 174.97 Lu.upf
Sn 118.71 Sn.upf
Pu 244.00 Pu.upf
ATOMIC_POSITIONS crystal
Lu 0.5000 0.5000 0.0000
Sn 0.0000 0.0000 0.2343
Sn 0.0000 0.0000 0.7657
Pu 0.5000 0.5000 0.5000
CELL_PARAMETERS angstrom
3.9150 0.0000 0.0000
0.0000 3.9150 0.0000
0.0000 0.0000 6.8156
```

=====

First-principles (GGA-PBE) data for a geometry-optimized LuPuSn2 structure, as listed in Alexandria. Values from VASP.

Properties
DFT total energy (eV per atom): -7.163
Calculated formation energy (eV per atom): -0.45

```
&SYSTEM
  ibrav = 0, nat = 4, ntyp = 3
/
ATOMIC_SPECIES
Pu 244.00 Pu.upf
Sn 118.71 Sn.upf
Lu 174.97 Lu.upf
ATOMIC_POSITIONS crystal
Pu 0.5000 0.5000 0.5000
Sn 0.0000 0.5000 0.0000
Lu 0.5000 0.0000 0.0000
Sn 0.0000 0.0000 0.5000
CELL_PARAMETERS angstrom
4.4397 0.0000 0.0000
0.0000 4.8164 0.0000
0.0000 0.0000 4.8164
```

=====

First-principles (GGA-PBE) data for a geometry-optimized TbLuPuSn structure, as listed in Alexandria. Values from VASP.

Properties
DFT total energy (eV per atom): -7.013
Calculated formation energy (eV per atom): -0.14

```
&SYSTEM
  ibrav = 0, nat = 4, ntyp = 4
/
ATOMIC_SPECIES
Pu 244.00 Pu.upf
Tb 158.93 Tb.upf
Lu 174.97 Lu.upf
Sn 118.71 Sn.upf
ATOMIC_POSITIONS crystal
Pu 0.5000 0.5000 0.5000
Tb 0.0000 0.0000 0.0000
Lu 0.2500 0.2500 0.2500
Sn 0.7500 0.7500 0.7500
CELL_PARAMETERS angstrom
-0.9775 -4.9213 1.9184
3.7325 -3.8394 -0.4269
2.5798 -1.7367 4.3799
```

=====

First-principles (GGA-PBE) data for a geometry-optimized LuPuThSn structure, as listed in Alexandria. Values from VASP.

Properties
DFT total energy (eV per atom): -7.638
Calculated formation energy (eV per atom): -0.07

```
&SYSTEM
  ibrav = 0, nat = 4, ntyp = 4
/
ATOMIC_SPECIES
Sn 118.71 Sn.upf
Pu 244.00 Pu.upf
Lu 174.97 Lu.upf
Th 232.04 Th.upf
ATOMIC_POSITIONS crystal
Sn 0.5000 0.5000 0.5000
Pu 0.7500 0.7500 0.7500
Lu 0.2500 0.2500 0.2500
Th 0.0000 0.0000 0.0000
CELL_PARAMETERS angstrom
5.3469 0.0000 0.0000
2.6734 4.6305 0.0000
2.6734 1.5435 4.3657
```

=====

First-principles (GGA-PBE) data for a geometry-optimized TmLuPuSn structure, as listed in Alexandria. Values from VASP.

Properties
DFT total energy (eV per atom): -6.962
Calculated formation energy (eV per atom): -0.13

```
&SYSTEM
  ibrav = 0, nat = 4, ntyp = 4
/
ATOMIC_SPECIES
Tm 168.93 Tm.upf
Lu 174.97 Lu.upf
Pu 244.00 Pu.upf
Sn 118.71 Sn.upf
ATOMIC_POSITIONS crystal
Tm 0.5000 0.5000 0.5000
Lu 0.7500 0.7500 0.7500
Pu 0.0000 0.0000 0.0000
Sn 0.2500 0.2500 0.2500
CELL_PARAMETERS angstrom
-0.8589 5.2247 -0.6570
-2.3814 2.8175 3.8545
2.8056 3.5423 2.8368
```

=====

First-principles (GGA-PBE) data for a geometry-optimized YLuPuSn structure, as listed in Alexandria. Values from VASP.

Properties
DFT total energy (eV per atom): -7.477
Calculated formation energy (eV per atom): -0.15

```
&SYSTEM
  ibrav = 0, nat = 4, ntyp = 4
/
ATOMIC_SPECIES
Lu 174.97 Lu.upf
Pu 244.00 Pu.upf
Sn 118.71 Sn.upf
Y 88.91 Y.upf
ATOMIC_POSITIONS crystal
Lu 0.5000 0.5000 0.5000
Pu 0.2500 0.2500 0.2500
Sn 0.0000 0.0000 0.0000
Y 0.7500 0.7500 0.7500
CELL_PARAMETERS angstrom
5.3712 0.0000 0.0000
2.6856 4.6516 0.0000
2.6856 1.5505 4.3855
```

=====

First-principles (GGA-PBE) data for a geometry-optimized TbLuPu2 structure, as listed in Alexandria. Values from VASP.

Properties
DFT total energy (eV per atom): -9.291
Offset from the most stable computed form (meV per atom): 0
Calculated formation energy (eV per atom): 0.16

```
&SYSTEM
  ibrav = 0, nat = 4, ntyp = 3
/
ATOMIC_SPECIES
Tb 158.93 Tb.upf
Pu 244.00 Pu.upf
Lu 174.97 Lu.upf
ATOMIC_POSITIONS crystal
Tb 0.5000 0.5000 0.5000
Pu 0.0000 0.0000 0.2460
Pu 0.0000 0.0000 0.7540
Lu 0.5000 0.5000 0.0000
CELL_PARAMETERS angstrom
-0.1271 -0.5672 3.3324
-3.1248 -1.2523 -0.3324
3.8326 -9.1872 -1.4175
```

=====

First-principles (GGA-PBE) data for a geometry-optimized TbLuPu2 structure, as listed in Alexandria. Values from VASP.

Properties
DFT total energy (eV per atom): -9.281
Offset from the most stable computed form (meV per atom): 10
Calculated formation energy (eV per atom): 0.17

```
&SYSTEM
  ibrav = 0, nat = 4, ntyp = 3
/
ATOMIC_SPECIES
Lu 174.97 Lu.upf
Pu 244.00 Pu.upf
Tb 158.93 Tb.upf
ATOMIC_POSITIONS crystal
Lu 0.0000 0.0000 0.0000
Pu 0.7491 0.7491 0.7528
Tb 0.5000 0.5000 0.5000
Pu 0.2509 0.2509 0.2472
CELL_PARAMETERS angstrom
-1.5645 -2.6201 -1.5326
0.6327 -3.1980 1.0170
-8.8083 -1.2414 7.3095
```

=====

First-principles (GGA-PBE) data for a geometry-optimized Tb2LuPu structure, as listed in Alexandria. Values from VASP.

Properties
DFT total energy (eV per atom): -6.893
Offset from the most stable computed form (meV per atom): 36
Calculated formation energy (eV per atom): 0.14

```
&SYSTEM
  ibrav = 0, nat = 4, ntyp = 3
/
ATOMIC_SPECIES
Pu 244.00 Pu.upf
Tb 158.93 Tb.upf
Lu 174.97 Lu.upf
ATOMIC_POSITIONS crystal
Pu 0.5000 0.5000 0.5000
Tb 0.0000 0.0000 0.5000
Lu 0.5000 0.0000 0.0000
Tb 0.0000 0.5000 0.0000
CELL_PARAMETERS angstrom
4.9337 0.0000 0.0000
0.0000 4.9441 0.0000
0.0000 0.0000 4.9441
```